This record from the Alexandria database describes a relaxed structure of SmGdHgOs. The functional is PBE.

Cell and atoms, written as POSCAR:
```
SmGdHgOs
1.0
7.1989 0.0000 0.0000
0.0000 7.1989 0.0000
0.0000 0.0000 7.1989
Sm Gd Hg Os
4 4 4 4
Cartesian
0.0000 0.0000 0.0000
0.0000 3.5994 3.5994
3.5994 0.0000 3.5994
3.5994 3.5994 0.0000
0.0000 0.0000 3.5994
0.0000 3.5994 0.0000
3.5994 0.0000 0.0000
3.5994 3.5994 3.5994
1.7997 1.7997 1.7997
1.7997 5.3992 5.3992
5.3992 1.7997 5.3992
5.3992 5.3992 1.7997
1.7997 1.7997 5.3992
1.7997 5.3992 1.7997
5.3992 1.7997 1.7997
5.3992 5.3992 5.3992
```

- E: -7.7777 eV per atom
- SG: No. 216